No. 1
Material: Ca5Sm3H12
Method: DFT, PBE-GGA
State: optimized geometry

Cell lengths 11.6066, 11.6066, 11.6066 Å; angles 109.47, 109.47, 109.47 degrees
With the nearest neighbours (Å) after each atom.
Sites, in units of the cell vectors:
Sm: 0.8750 0.7500 0.1250  8 H 2.37-2.44
Sm: 0.6250 0.2500 0.3750  8 H 2.37-2.44
Sm: 0.2500 0.6250 0.8750  8 H 2.37-2.44
Sm: 0.7500 0.8750 0.6250  8 H 2.37-2.44
Sm: 0.3750 0.7500 0.6250  8 H 2.37-2.44
Sm: 0.7500 0.3750 0.1250  8 H 2.37-2.44
Sm: 0.2500 0.1250 0.3750  8 H 2.37-2.44
Sm: 0.3750 0.6250 0.2500  8 H 2.37-2.44
Sm: 0.1250 0.2500 0.8750  8 H 2.37-2.44
Sm: 0.8750 0.1250 0.2500  8 H 2.37-2.44
Sm: 0.6250 0.3750 0.7500  8 H 2.37-2.44
Sm: 0.1250 0.8750 0.7500  8 H 2.37-2.44
H: 0.0847 0.1626 0.4363  2 Ca 2.24-2.29, 2 Sm 2.37-2.44, 1 H 2.41
H: 0.2264 0.5637 0.6485  2 Ca 2.24-2.29, 2 Sm 2.37-2.44, 1 H 2.41
H: 0.3374 0.7736 0.4221  2 Ca 2.24-2.29, 2 Sm 2.37-2.44, 1 H 2.41
H: 0.4153 0.0637 0.3374  2 Ca 2.24-2.29, 2 Sm 2.37-2.44, 1 H 2.41
H: 0.5637 0.3374 0.9153  2 Ca 2.24-2.29, 2 Sm 2.37-2.44, 1 H 2.41
H: 0.3515 0.9363 0.7736  2 Ca 2.24-2.29, 2 Sm 2.37-2.44, 1 H 2.41
H: 0.8374 0.9153 0.0637  2 Ca 2.24-2.29, 2 Sm 2.37-2.44, 1 H 2.41
H: 0.6626 0.2264 0.5779  2 Ca 2.24-2.29, 2 Sm 2.37-2.44, 1 H 2.41
H: 0.0779 0.1626 0.2264  2 Ca 2.24-2.29, 2 Sm 2.37-2.44, 1 H 2.41
H: 0.1485 0.7264 0.5637  2 Ca 2.24-2.29, 2 Sm 2.37-2.44, 1 H 2.41
H: 0.2736 0.8515 0.9363  2 Ca 2.24-2.29, 2 Sm 2.37-2.44, 1 H 2.41
H: 0.5847 0.6485 0.4221  2 Ca 2.24-2.29, 2 Sm 2.37-2.44, 1 H 2.41
H: 0.5637 0.2264 0.1485  2 Ca 2.24-2.29, 2 Sm 2.37-2.44, 1 H 2.41
H: 0.2264 0.6626 0.0779  2 Ca 2.24-2.29, 2 Sm 2.37-2.44, 1 H 2.41
H: 0.1626 0.0847 0.9363  2 Ca 2.24-2.29, 2 Sm 2.37-2.44, 1 H 2.41
H: 0.6485 0.5847 0.9221  2 Ca 2.24-2.29, 2 Sm 2.37-2.44, 1 H 2.41
H: 0.4221 0.2736 0.3374  2 Ca 2.24-2.29, 2 Sm 2.37-2.44, 1 H 2.41
H: 0.9221 0.0847 0.6485  2 Ca 2.24-2.29, 2 Sm 2.37-2.44, 1 H 2.41
H: 0.5847 0.9363 0.6626  2 Ca 2.24-2.29, 2 Sm 2.37-2.44, 1 H 2.41
H: 0.8374 0.9221 0.2736  2 Ca 2.24-2.29, 2 Sm 2.37-2.44, 1 H 2.41
H: 0.9153 0.8374 0.5637  2 Ca 2.24-2.29, 2 Sm 2.37-2.44, 1 H 2.41
H: 0.0847 0.9221 0.1485  2 Ca 2.24-2.29, 2 Sm 2.37-2.44, 1 H 2.41
H: 0.7736 0.4363 0.3515  2 Ca 2.24-2.29, 2 Sm 2.37-2.44, 1 H 2.41
H: 0.5779 0.7264 0.6626  2 Ca 2.24-2.29, 2 Sm 2.37-2.44, 1 H 2.41
H: 0.4153 0.3515 0.5779  2 Ca 2.24-2.29, 2 Sm 2.37-2.44, 1 H 2.41
H: 0.6626 0.4363 0.5847  2 Ca 2.24-2.29, 2 Sm 2.37-2.44, 1 H 2.41
H: 0.8515 0.5779 0.9153  2 Ca 2.24-2.29, 2 Sm 2.37-2.44, 1 H 2.41
H: 0.0637 0.6485 0.7264  2 Ca 2.24-2.29, 2 Sm 2.37-2.44, 1 H 2.41
H: 0.1485 0.4221 0.0847  2 Ca 2.24-2.29, 2 Sm 2.37-2.44, 1 H 2.41
H: 0.2736 0.4221 0.8374  2 Ca 2.24-2.29, 2 Sm 2.37-2.44, 1 H 2.41
H: 0.8515 0.2736 0.4363  2 Ca 2.24-2.29, 2 Sm 2.37-2.44, 1 H 2.41
H: 0.3515 0.4153 0.0779  2 Ca 2.24-2.29, 2 Sm 2.37-2.44, 1 H 2.41
H: 0.0779 0.9153 0.3515  2 Ca 2.24-2.29, 2 Sm 2.37-2.44, 1 H 2.41
H: 0.4363 0.6626 0.0847  2 Ca 2.24-2.29, 2 Sm 2.37-2.44, 1 H 2.41
H: 0.9153 0.0779 0.8515  2 Ca 2.24-2.29, 2 Sm 2.37-2.44, 1 H 2.41
H: 0.9221 0.8374 0.7736  2 Ca 2.24-2.29, 2 Sm 2.37-2.44, 1 H 2.41
H: 0.0637 0.4153 0.8374  2 Ca 2.24-2.29, 2 Sm 2.37-2.44, 1 H 2.41
H: 0.4363 0.7736 0.8515  2 Ca 2.24-2.29, 2 Sm 2.37-2.44, 1 H 2.41
H: 0.9363 0.5847 0.1626  2 Ca 2.24-2.29, 2 Sm 2.37-2.44, 1 H 2.41
H: 0.7264 0.1485 0.0637  2 Ca 2.24-2.29, 2 Sm 2.37-2.44, 1 H 2.41
H: 0.7736 0.3374 0.9221  2 Ca 2.24-2.29, 2 Sm 2.37-2.44, 1 H 2.41
H: 0.1626 0.0779 0.7264  2 Ca 2.24-2.29, 2 Sm 2.37-2.44, 1 H 2.41
H: 0.7264 0.5779 0.1626  2 Ca 2.24-2.29, 2 Sm 2.37-2.44, 1 H 2.41
H: 0.6485 0.0637 0.2264  2 Ca 2.24-2.29, 2 Sm 2.37-2.44, 1 H 2.41
H: 0.5779 0.8515 0.4153  2 Ca 2.24-2.29, 2 Sm 2.37-2.44, 1 H 2.41
H: 0.9363 0.3515 0.2736  2 Ca 2.24-2.29, 2 Sm 2.37-2.44, 1 H 2.41
H: 0.3374 0.5637 0.4153  2 Ca 2.24-2.29, 2 Sm 2.37-2.44, 1 H 2.41
H: 0.4221 0.1485 0.5847  2 Ca 2.24-2.29, 2 Sm 2.37-2.44, 1 H 2.41
Ca: 0.1250 0.3750 0.2500  4 H 2.24
Ca: 0.5000 0.5000 0.5000  6 H 2.29
Ca: 0.2500 0.8750 0.1250  4 H 2.24
Ca: 0.5000 0.5000 0.0000  6 H 2.29
Ca: 0.8750 0.6250 0.7500  4 H 2.24
Ca: 0.3750 0.1250 0.7500  4 H 2.24
Ca: 0.7500 0.1250 0.8750  4 H 2.24
Ca: 0.0000 0.0000 0.5000  6 H 2.29
Ca: 0.0000 0.0000 0.0000  6 H 2.29
Ca: 0.0000 0.5000 0.5000  6 H 2.29
Ca: 0.0000 0.5000 0.0000  6 H 2.29
Ca: 0.5000 0.0000 0.0000  6 H 2.29
Ca: 0.3750 0.2500 0.1250  4 H 2.24
Ca: 0.1250 0.7500 0.3750  4 H 2.24
Ca: 0.8750 0.2500 0.6250  4 H 2.24
Ca: 0.6250 0.8750 0.2500  4 H 2.24
Ca: 0.6250 0.7500 0.8750  4 H 2.24
Ca: 0.7500 0.6250 0.3750  4 H 2.24
Ca: 0.5000 0.0000 0.5000  6 H 2.29
Ca: 0.2500 0.3750 0.6250  4 H 2.24

crystal system	cubic
electronic total energy	-289.77	eV for the cell shown
V	15.0	Å³ per atom

No. 2
Material: Ca5Sn2H2
Method: DFT, PBE-GGA
State: optimized geometry

Cell lengths 5.1256, 6.6530, 7.1245 Å; angles 99.91, 90.00, 112.66 degrees
With the nearest neighbours (Å) after each atom.
Sites, in units of the cell vectors:
H: 0.8383 0.6766 0.1184  3 Ca 2.30-2.38
H: 0.1617 0.3234 0.8816  3 Ca 2.30-2.38
Ca: 0.0000 0.0000 0.0000  2 H 2.30
Ca: 0.3190 0.6379 0.1334  3 H 2.38-2.58
Ca: 0.6810 0.3621 0.8666  3 H 2.38-2.58
Ca: 0.8533 0.7065 0.4561  1 H 2.38
Ca: 0.1467 0.2935 0.5439  1 H 2.38
Sn: 0.4074 0.8149 0.7148  7 Ca 3.15-3.36, 1 H 3.44
Sn: 0.5926 0.1851 0.2852  7 Ca 3.15-3.36, 1 H 3.44

crystal system	monoclinic
distance to the lowest polymorph of the same formula	0.042	eV per atom
V	24.5	Å³ per atom

No. 3
Material: Ca2Sn2H
Method: DFT, PBE-GGA
State: optimized geometry

Cell lengths 6.7695, 6.7695, 5.3921 Å; angles 90.00, 90.00, 90.00 degrees
With the nearest neighbours (Å) after each atom.
Sites, in units of the cell vectors:
Ca: 0.8278 0.6722 0.0000  2 H 2.51
Ca: 0.6722 0.1722 0.0000  2 H 2.51
Ca: 0.1722 0.3278 0.0000  2 H 2.51
Ca: 0.3278 0.8278 0.0000  2 H 2.51
Sn: 0.1563 0.6563 0.5000  1 Sn 2.99, 2 Ca 3.16
Sn: 0.3437 0.1563 0.5000  1 Sn 2.99, 2 Ca 3.16
Sn: 0.8437 0.3437 0.5000  1 Sn 2.99, 2 Ca 3.16
Sn: 0.6563 0.8437 0.5000  1 Sn 2.99, 2 Ca 3.16
H: 0.5000 0.5000 0.0000  4 Ca 2.51
H: 0.0000 0.0000 0.0000  4 Ca 2.51

crystal system	tetragonal
electronic total energy	-33.84	eV for the cell shown
V	24.7	Å³ per atom

No. 4
Material: Ca12Sn3H5
Method: DFT, PBE-GGA
State: optimized geometry

Cell lengths 14.0740, 14.0740, 14.0740 Å; angles 109.47, 109.47, 109.47 degrees
With the nearest neighbours (Å) after each atom.
Sites, in units of the cell vectors:
H: 0.3750 0.2500 0.1250  4 Ca 2.30
H: 0.0000 0.5000 0.5000  6 Ca 2.74
H: 0.5000 0.0000 0.5000  6 Ca 2.74
H: 0.2500 0.3750 0.6250  4 Ca 2.30
H: 0.8750 0.6250 0.7500  4 Ca 2.30
H: 0.5000 0.5000 0.5000  6 Ca 2.74
H: 0.0000 0.0000 0.5000  6 Ca 2.74
H: 0.3750 0.1250 0.7500  4 Ca 2.30
H: 0.7500 0.6250 0.3750  4 Ca 2.30
H: 0.0000 0.0000 0.0000  6 Ca 2.74
H: 0.7500 0.1250 0.8750  4 Ca 2.30
H: 0.6250 0.7500 0.8750  4 Ca 2.30
H: 0.1250 0.7500 0.3750  4 Ca 2.30
H: 0.1250 0.3750 0.2500  4 Ca 2.30
H: 0.5000 0.5000 0.0000  6 Ca 2.74
H: 0.0000 0.5000 0.0000  6 Ca 2.74
H: 0.2500 0.8750 0.1250  4 Ca 2.30
H: 0.6250 0.8750 0.2500  4 Ca 2.30
H: 0.5000 0.0000 0.0000  6 Ca 2.74
H: 0.8750 0.2500 0.6250  4 Ca 2.30
Ca: 0.5924 0.7104 0.6915  1 H 2.30
Ca: 0.0992 0.9076 0.1180  1 H 2.30
Ca: 0.3085 0.5188 0.4008  1 H 2.30
Ca: 0.6180 0.5992 0.9076  1 H 2.30
Ca: 0.0188 0.4008 0.8085  1 H 2.30
Ca: 0.9812 0.5992 0.1915  1 H 2.30
Ca: 0.0188 0.6180 0.7104  1 H 2.30
Ca: 0.8820 0.5924 0.9008  1 H 2.30
Ca: 0.7896 0.4812 0.3820  1 H 2.30
Ca: 0.9008 0.0924 0.8820  1 H 2.30
Ca: 0.8820 0.2896 0.4812  1 H 2.30
Ca: 0.1180 0.7104 0.5188  1 H 2.30
Ca: 0.9076 0.0992 0.6180  1 H 2.30
Ca: 0.9076 0.8085 0.7896  1 H 2.30
Ca: 0.7104 0.5924 0.1915  1 H 2.30
Ca: 0.4008 0.3820 0.5924  1 H 2.30
Ca: 0.2896 0.8820 0.9812  1 H 2.30
Ca: 0.6915 0.4812 0.5992  1 H 2.30
Ca: 0.4812 0.6915 0.0992  1 H 2.30
Ca: 0.3085 0.7896 0.4076  1 H 2.30
Ca: 0.9812 0.3820 0.2896  1 H 2.30
Ca: 0.8085 0.9008 0.0188  1 H 2.30
Ca: 0.6915 0.2104 0.5924  1 H 2.30
Ca: 0.0924 0.1915 0.2104  1 H 2.30
Ca: 0.5188 0.3085 0.9008  1 H 2.30
Ca: 0.5924 0.8820 0.4008  1 H 2.30
Ca: 0.5188 0.2104 0.1180  1 H 2.30
Ca: 0.4812 0.7896 0.8820  1 H 2.30
Ca: 0.3820 0.4008 0.0924  1 H 2.30
Ca: 0.0924 0.9008 0.3820  1 H 2.30
Ca: 0.4008 0.0188 0.3085  1 H 2.30
Ca: 0.1915 0.0924 0.7104  1 H 2.30
Ca: 0.6180 0.0188 0.2104  1 H 2.30
Ca: 0.3820 0.9812 0.7896  1 H 2.30
Ca: 0.2896 0.4076 0.8085  1 H 2.30
Ca: 0.2104 0.6915 0.0924  1 H 2.30
Ca: 0.5992 0.9812 0.6915  1 H 2.30
Ca: 0.8085 0.9076 0.2896  1 H 2.30
Ca: 0.1180 0.4076 0.0992  1 H 2.30
Ca: 0.0992 0.1915 0.4812  1 H 2.30
Ca: 0.5992 0.6180 0.4076  1 H 2.30
Ca: 0.9008 0.8085 0.5188  1 H 2.30
Ca: 0.4076 0.1180 0.5992  1 H 2.30
Ca: 0.4076 0.2896 0.3085  1 H 2.30
Ca: 0.7104 0.1180 0.0188  1 H 2.30
Ca: 0.1915 0.0992 0.9812  1 H 2.30
Ca: 0.2104 0.5188 0.6180  1 H 2.30
Ca: 0.7896 0.3085 0.9076  1 H 2.30
Sn: 0.6250 0.3750 0.7500  8 Ca 3.18-3.25
Sn: 0.2500 0.1250 0.3750  8 Ca 3.18-3.25
Sn: 0.1250 0.8750 0.7500  8 Ca 3.18-3.25
Sn: 0.8750 0.7500 0.1250  8 Ca 3.18-3.25
Sn: 0.8750 0.1250 0.2500  8 Ca 3.18-3.25
Sn: 0.2500 0.6250 0.8750  8 Ca 3.18-3.25
Sn: 0.7500 0.3750 0.1250  8 Ca 3.18-3.25
Sn: 0.1250 0.2500 0.8750  8 Ca 3.18-3.25
Sn: 0.3750 0.7500 0.6250  8 Ca 3.18-3.25
Sn: 0.6250 0.2500 0.3750  8 Ca 3.18-3.25
Sn: 0.3750 0.6250 0.2500  8 Ca 3.18-3.25
Sn: 0.7500 0.8750 0.6250  8 Ca 3.18-3.25

crystal system	cubic
electronic total energy	-243.23	eV for the cell shown
V	26.8	Å³ per atom

No. 5
Material: Ca2SnH
Method: DFT, PBE-GGA
State: optimized geometry

Cell lengths 3.5145, 5.3610, 5.3610 Å; angles 90.00, 90.00, 90.00 degrees
With the nearest neighbours (Å) after each atom.
Sites, in units of the cell vectors:
Sn: 0.5000 0.5000 0.5000  8 Ca 3.21, 2 Sn 3.51
Ca: 0.0000 0.0000 0.5000  4 Sn 3.21, 4 H 3.21, 2 Ca 3.51
Ca: 0.0000 0.5000 0.0000  4 Sn 3.21, 4 H 3.21, 2 Ca 3.51
H: 0.5000 0.0000 0.0000  8 Ca 3.21, 2 H 3.51

crystal system	tetragonal
distance to the lowest polymorph of the same formula	0.216	eV per atom
V	25.3	Å³ per atom

No. 6
Material: CaSnH2
Method: DFT, PBE-GGA
State: optimized geometry

Cell lengths 4.4047, 4.4047, 4.4047 Å; angles 60.00, 60.00, 60.00 degrees
With the nearest neighbours (Å) after each atom.
Sites, in units of the cell vectors:
H: 0.7500 0.7500 0.7500  4 Sn 2.70, 4 Ca 2.70
H: 0.2500 0.2500 0.2500  4 Sn 2.70, 4 Ca 2.70
Sn: 0.5000 0.5000 0.5000  8 H 2.70
Ca: 0.0000 0.0000 0.0000  8 H 2.70

crystal system	cubic
distance to the lowest polymorph of the same formula	0.343	eV per atom
V	15.1	Å³ per atom

No. 7
Material: Ca12Sn5H2
Method: DFT, PBE-GGA
State: optimized geometry

Cell lengths 7.9790, 9.3091, 10.1467 Å; angles 105.62, 90.00, 115.38 degrees
With the nearest neighbours (Å) after each atom.
Sites, in units of the cell vectors:
Ca: 0.5732 0.6749 0.9147  1 H 2.65
Ca: 0.9942 0.9883 0.2007  1 Sn 3.01, 2 H 3.30
Ca: 0.1017 0.6749 0.9147  1 H 2.65
Ca: 0.5006 0.0013 0.8092  2 H 2.41
Ca: 0.4268 0.3251 0.0853  1 H 2.65
Ca: 0.5951 0.6928 0.4265  4 Sn 3.18-3.27
Ca: 0.4049 0.3072 0.5735  4 Sn 3.18-3.27
Ca: 0.4994 0.9987 0.1908  2 H 2.41
Ca: 0.0978 0.6928 0.4265  4 Sn 3.18-3.27
Ca: 0.0058 0.0117 0.7993  1 Sn 3.01, 2 H 3.30
Ca: 0.8983 0.3251 0.0853  1 H 2.65
Ca: 0.9022 0.3072 0.5735  4 Sn 3.18-3.27
Sn: 0.6880 0.3761 0.8413  7 Ca 3.07-3.27
Sn: 0.6862 0.3723 0.3466  7 Ca 3.07-3.26
Sn: 0.3120 0.6239 0.1587  7 Ca 3.07-3.27
Sn: 0.0000 0.0000 0.5000  6 Ca 3.01-3.18
Sn: 0.3138 0.6277 0.6534  7 Ca 3.07-3.26
H: 0.6783 0.0000 0.0000  4 Ca 2.41-2.65
H: 0.3217 0.0000 0.0000  4 Ca 2.41-2.65

crystal system	monoclinic
electronic total energy	-58.67	eV for the cell shown
V	34.2	Å³ per atom

No. 8
Material: Ca2SnH
Method: DFT, PBE-GGA
State: optimized geometry

Cell lengths 7.1568, 7.1568, 6.3590 Å; angles 55.76, 55.76, 90.00 degrees
With the nearest neighbours (Å) after each atom.
Sites, in units of the cell vectors:
H: 0.2500 0.7500 0.5000  4 Ca 2.29
H: 0.5000 0.5000 0.0000  4 Ca 2.29
Ca: 0.8750 0.7726 0.7500  2 H 2.29
Ca: 0.5226 0.1250 0.2500  2 H 2.29
Ca: 0.2274 0.6250 0.2500  2 H 2.29
Ca: 0.3750 0.4774 0.7500  2 H 2.29
Sn: 0.7500 0.2500 0.5000  8 Ca 3.24-3.56
Sn: 0.0000 0.0000 0.0000  8 Ca 3.24-3.56

crystal system	tetragonal
distance to the lowest polymorph of the same formula	0.093	eV per atom
V	24.7	Å³ per atom

No. 9
Material: CaSn2H2
Method: DFT, PBE-GGA
State: optimized geometry

Cell lengths 4.1175, 4.1175, 6.2814 Å; angles 70.87, 70.87, 90.00 degrees
With the nearest neighbours (Å) after each atom.
Sites, in units of the cell vectors:
H: 0.2500 0.7500 0.5000  4 Sn 2.28
H: 0.7500 0.2500 0.5000  4 Sn 2.28
Sn: 0.3383 0.3383 0.3235  4 H 2.28
Sn: 0.6617 0.6617 0.6765  4 H 2.28
Ca: 0.0000 0.0000 0.0000  10 Sn 3.42-3.77, 8 H 3.46

crystal system	tetragonal
electronic total energy	-15.59	eV for the cell shown
V	18.9	Å³ per atom

No. 10
Material: Ca2SnH2
Method: DFT, PBE-GGA
State: optimized geometry

Cell lengths 3.5398, 3.5398, 7.5585 Å; angles 90.00, 90.00, 90.00 degrees
With the nearest neighbours (Å) after each atom.
Sites, in units of the cell vectors:
H: 0.0000 0.5000 0.5000  4 Ca 2.32, 4 H 2.50
H: 0.5000 0.0000 0.5000  4 Ca 2.32, 4 H 2.50
Sn: 0.0000 0.0000 0.0000  8 Ca 3.38, 4 Sn 3.54
Ca: 0.5000 0.5000 0.6988  4 H 2.32
Ca: 0.5000 0.5000 0.3012  4 H 2.32

crystal system	tetragonal
distance to the lowest polymorph of the same formula	0.137	eV per atom
V	18.9	Å³ per atom

No. 11
Material: CaSn2H2
Method: DFT, PBE-GGA
State: optimized geometry

Cell lengths 6.4468, 6.4468, 4.5810 Å; angles 90.00, 90.00, 90.00 degrees
With the nearest neighbours (Å) after each atom.
Sites, in units of the cell vectors:
H: 0.2971 0.2029 0.0000  2 Sn 2.30, 2 Ca 2.32
H: 0.2029 0.7029 0.0000  2 Sn 2.30, 2 Ca 2.32
H: 0.7029 0.7971 0.0000  2 Sn 2.30, 2 Ca 2.32
H: 0.7971 0.2971 0.0000  2 Sn 2.30, 2 Ca 2.32
Sn: 0.1809 0.6809 0.5000  2 H 2.30
Sn: 0.8191 0.3191 0.5000  2 H 2.30
Sn: 0.6809 0.8191 0.5000  2 H 2.30
Sn: 0.3191 0.1809 0.5000  2 H 2.30
Ca: 0.0000 0.0000 0.0000  4 H 2.32
Ca: 0.5000 0.5000 0.0000  4 H 2.32

crystal system	tetragonal
electronic total energy	-34.59	eV for the cell shown
V	19.0	Å³ per atom

No. 12
Material: CaSn3H
Method: DFT, PBE-GGA
State: optimized geometry

Cell lengths 5.8791, 5.8791, 5.8791 Å; angles 90.00, 90.00, 90.00 degrees
With the nearest neighbours (Å) after each atom.
Sites, in units of the cell vectors:
Sn: 0.5000 0.0000 0.0000  2 Ca 2.94
Sn: 0.0000 0.0000 0.5000  2 Ca 2.94
Sn: 0.0000 0.5000 0.0000  2 Ca 2.94
Ca: 0.0000 0.0000 0.0000  6 Sn 2.94
H: 0.5000 0.5000 0.5000  12 Sn 4.16

crystal system	cubic
distance to the lowest polymorph of the same formula	1.206	eV per atom
V	40.6	Å³ per atom